A plane-wave DFT calculation with PBE was carried out for a geometry-optimized ScCdRe2 structure.

POSCAR file:
```
ScCdRe2
1.0
4.763 0.000 0.000
0.000 2.800 -0.003
0.000 0.689 5.242
Re Sc Cd
2 1 1
Cartesian
0.000 2.662 0.131
0.000 1.883 2.485
2.381 0.872 1.310
2.381 2.617 3.929
```

The symmetry is P2/m, No. 10. As for the energy: -30.9 eV per cell. The formation energy is 0.30 eV per atom. The value obtained for the density of states at the Fermi level is 0.9359 states/eV/atom. As for the calculated volume: 69.9 Å³/cell.